Cs2Na3PaF12 (PBE, relaxed); V = 21.9 Å³ per atom; density = 3.35 g cm⁻³; energy = -4.8453 eV/atom; space group = R-3m (166)
1.0
4.018 2.320 7.039
-4.018 2.320 7.039
0.000 -4.639 7.039
Cs Na Pa F
2 3 1 12
direct
0.088 0.088 0.088
0.912 0.912 0.912
0.000 0.500 0.500
0.500 0.000 0.500
0.500 0.500 0.000
0.500 0.500 0.500
0.168 0.168 0.634
0.168 0.634 0.168
0.191 0.572 0.572
0.366 0.832 0.832
0.428 0.428 0.809
0.428 0.809 0.428
0.572 0.191 0.572
0.572 0.572 0.191
0.634 0.168 0.168
0.809 0.428 0.428
0.832 0.366 0.832
0.832 0.832 0.366